Density functional theory data (PBE-GGA) for crystalline BaNaZrAs2 at its relaxed geometry.

Output
ΔE_f = -0.021 eV/atom

a = 5.3406 Å, b = 5.3406 Å, c = 5.9706 Å
α = 90.00°, β = 90.00°, γ = 90.00°
Last column: nearest neighbours and their distance in Å.
Fractional coordinates of all 5 atoms:
As1 0.0000 0.5000 0.0000  2 Zr 2.67
As2 0.5000 0.0000 0.0000  2 Zr 2.67
Ba1 0.0000 0.0000 0.5000  2 Zr 2.99
Na1 0.5000 0.5000 0.5000  4 Ba 3.78, 8 As 4.01
Zr1 0.0000 0.0000 0.0000  4 As 2.67, 2 Ba 2.99


Density functional theory data (PBE-GGA) for crystalline BaNb3As at its relaxed geometry.

Output
Energy above the most stable polymorph in this dataset = 1797 meV per atom
ΔE_f = 2.523 eV/atom

a = 5.0746 Å, b = 5.0746 Å, c = 5.0746 Å
α = 90.00°, β = 90.00°, γ = 90.00°
Last column: nearest neighbours and their distance in Å.
Fractional coordinates of all 5 atoms:
As1 0.5000 0.5000 0.5000  12 Nb 3.59
Ba1 0.0000 0.0000 0.0000  6 Nb 2.54
Nb1 0.0000 0.0000 0.5000  2 Ba 2.54
Nb2 0.5000 0.0000 0.0000  2 Ba 2.54
Nb3 0.0000 0.5000 0.0000  2 Ba 2.54


Density functional theory data (PBE-GGA) for crystalline Ba2NbAs at its relaxed geometry.

Output
ΔE_f = 0.111 eV/atom

a = 12.1872 Å, b = 12.1872 Å, c = 8.9776 Å
α = 47.25°, β = 47.25°, γ = 90.00°
Last column: nearest neighbours and their distance in Å.
Fractional coordinates of all 8 atoms:
Nb1 0.7500 0.2500 0.5000  2 As 2.52
Nb2 0.0000 0.0000 0.0000  2 As 2.52
As1 0.2500 0.7500 0.5000  2 Nb 2.52
As2 0.5000 0.5000 0.0000  2 Nb 2.52
Ba1 0.4578 0.1250 0.2500  2 As 3.27
Ba2 0.3750 0.5422 0.7500  2 As 3.27
Ba3 0.2922 0.6250 0.2500  2 As 3.27
Ba4 0.8750 0.7078 0.7500  2 As 3.27


Density functional theory data (PBE-GGA) for crystalline Ba4NbAs4 at its relaxed geometry.

Output
ΔE_f = -0.953 eV/atom

a = 6.9829 Å, b = 9.5404 Å, c = 9.5404 Å
α = 90.00°, β = 90.00°, γ = 90.00°
Last column: nearest neighbours and their distance in Å.
Fractional coordinates of all 18 atoms:
Ba1 0.6793 0.0001 0.2779  6 As 3.39-3.68, 1 Nb 3.47
Ba2 0.3207 0.2779 0.9999  6 As 3.39-3.68, 1 Nb 3.47
Ba3 0.1793 0.2221 0.5001  6 As 3.39-3.68, 1 Nb 3.47
Ba4 0.8207 0.4999 0.2221  6 As 3.39-3.68, 1 Nb 3.47
Ba5 0.1793 0.7779 0.4999  6 As 3.39-3.68, 1 Nb 3.47
Ba6 0.6793 0.9999 0.7221  6 As 3.39-3.68, 1 Nb 3.47
Ba7 0.8207 0.5001 0.7779  6 As 3.39-3.68, 1 Nb 3.47
Ba8 0.3207 0.7221 0.0001  6 As 3.39-3.68, 1 Nb 3.47
As1 0.3001 0.5001 0.7202  1 Nb 2.52
As2 0.3001 0.4999 0.2798  1 Nb 2.52
As3 0.6999 0.2798 0.5001  1 Nb 2.52
As4 0.6999 0.7202 0.4999  1 Nb 2.52
As5 0.8001 0.2202 0.9999  1 Nb 2.52
As6 0.1999 0.0001 0.2202  1 Nb 2.52
As7 0.1999 0.9999 0.7798  1 Nb 2.52
As8 0.8001 0.7798 0.0001  1 Nb 2.52
Nb1 0.0000 0.0000 0.0000  4 As 2.52
Nb2 0.5000 0.5000 0.5000  4 As 2.52